{
  "formula": "PrTlMoO5",
  "functional": "PBE+U",
  "state": "optimized geometry",
  "lattice_angstrom": [[4.0460, -5.3531, 0.0000], [4.0460, 5.3531, 0.0000], [-3.8565, 0.0000, 7.6340]],
  "species": ["Pr", "Pr", "Tl", "Tl", "Mo", "Mo", "O", "O", "O", "O", "O", "O", "O", "O", "O", "O"],
  "fractional_positions": [[0.0000, 0.0000, 0.0000], [0.0000, 0.0000, 0.5000], [0.2978, 0.7022, 0.7500], [0.7022, 0.2978, 0.2500], [0.3121, 0.6879, 0.2500], [0.6879, 0.3121, 0.7500], [0.0801, 0.9199, 0.7500], [0.1321, 0.7051, 0.3730], [0.2235, 0.4053, 0.1041], [0.2949, 0.8679, 0.1270], [0.4053, 0.2235, 0.6041], [0.5947, 0.7765, 0.3959], [0.7051, 0.1321, 0.8730], [0.7765, 0.5947, 0.8959], [0.8679, 0.2949, 0.6270], [0.9199, 0.0801, 0.2500]],
  "dft_energy_ev_per_cell": -110.4,
  "vol_a3_per_atom": 20.7
}